The following is a PBE calculation of a geometry-optimized Hg4Bi5Pb2 structure, from the Alexandria database.

Computed properties:
N(E_F): 0.4969 states/eV per atom
Energy of formation from the pure elements: 0.058 eV per atom
Total moment: 0.00 μB/cell

Unit cell a=19.9719 b=3.4402 c=10.2108 alpha=90.00 beta=98.12 gamma=90.00
Space group C2/m (No. 12)
Inequivalent atoms, fractional coordinates:
Hg: 0.0660 0.0000 0.1153 [4 per cell]
Hg: 0.1809 0.5000 0.9957 [4 per cell]
Bi: 0.0000 0.5000 0.5000 [2 per cell]
Bi: 0.1413 0.0000 0.4280 [4 per cell]
Bi: 0.2323 0.0000 0.7049 [4 per cell]
Pb: 0.0750 0.0000 0.7737 [4 per cell]


The following is a PBE calculation of a geometry-optimized HgBi6Pb5 structure, from the Alexandria database.

Computed properties:
N(E_F): 0.4719 states/eV per atom
Energy of formation from the pure elements: 0.040 eV per atom
Total moment: 0.00 μB/cell

Unit cell a=11.7295 b=14.5411 c=4.8748 alpha=90.00 beta=114.13 gamma=90.00
Space group C2/m (No. 12)
Inequivalent atoms, fractional coordinates:
Hg: 0.0000 0.0000 0.0000 [2 per cell]
Bi: 0.2396 0.5000 0.2423 [4 per cell]
Bi: 0.2440 0.3328 0.7462 [8 per cell]
Pb: 0.0000 0.1466 0.5000 [4 per cell]
Pb: 0.0000 0.3213 0.0000 [4 per cell]
Pb: 0.0000 0.5000 0.5000 [2 per cell]


The following is a PBE calculation of a geometry-optimized Hg4Bi2Pb5 structure, from the Alexandria database.

Computed properties:
N(E_F): 0.3989 states/eV per atom
Energy of formation from the pure elements: 0.086 eV per atom
Energy relative to the lowest polymorph listed for this composition: 43 meV/atom
Total moment: 0.00 μB/cell

Unit cell a=4.3904 b=10.6767 c=15.1695 alpha=90.00 beta=90.00 gamma=90.00
Space group Immm (No. 71)
Inequivalent atoms, fractional coordinates:
Hg: 0.0000 0.0000 0.0937 [4 per cell]
Hg: 0.0000 0.2335 0.5000 [4 per cell]
Bi: 0.0000 0.0000 0.3290 [4 per cell]
Pb: 0.0000 0.3349 0.3022 [8 per cell]
Pb: 0.0000 0.5000 0.0000 [2 per cell]